Entry 1:
## YPaC (PBE)

Data for a relaxed structure of YPaC.

Results
spin magnetization = 0.4 μB per formula unit
Fermi-level density of states = 4.63 states/eV per cell
energy relative to the elements = -0.20 eV/atom

abc: 6.111 3.503 3.503
angles: 120.00 90.00 90.00
Sites, in units of the cell vectors:
Pa: 0.111 0.000 0.000
Y: 0.569 0.667 0.333
C: 0.320 0.333 0.667

Entry 2:
## Li2POs (PBE)

Data for a relaxed structure of Li2POs.

Results
spin magnetization = 0.0 μB per formula unit
Fermi-level density of states = 1.15 states/eV per cell
energy relative to the elements = -0.09 eV/atom

abc: 4.904 4.904 2.783
angles: 83.50 83.50 124.68
Sites, in units of the cell vectors:
P: 0.000 0.500 0.500
Os: 0.500 0.000 0.500
Li: 0.500 0.500 0.000
Li: 0.000 0.000 0.000

Entry 3:
## InCu2F6 (PBE)

Data for a relaxed structure of InCu2F6.

Results
spin magnetization = 1.0 μB per formula unit
Fermi-level density of states = 3.47 states/eV per cell
uncorrected energy = -38.4 eV for the cell shown

abc: 3.920 5.836 6.107
angles: 71.26 71.28 70.37
Sites, in units of the cell vectors:
Cu: 0.814 0.231 0.141
Cu: 0.186 0.769 0.859
F: 0.000 0.803 0.196
F: 0.254 0.318 0.174
F: 0.622 0.289 0.467
F: 0.746 0.682 0.826
F: 0.378 0.711 0.533
F: 0.000 0.197 0.804
In: 0.000 0.500 0.500